# 1
# Pr2AlZn4Hg3 (GGA-PBE, optimized geometry)
# - D(E_F): 5.81 states/eV/cell
# - Energy of formation from the pure elements: -0.29 eV per atom
# - SG: No. 115
data_Pr2AlZn4Hg3
_chemical_formula_sum 'Pr2 Al1 Zn4 Hg3'
_space_group_name_H-M_alt 'P 1'
_space_group_IT_number 1
_cell_length_a 4.368
_cell_length_b 4.368
_cell_length_c 11.462
_cell_angle_alpha 90.00
_cell_angle_beta 90.00
_cell_angle_gamma 90.00
loop_
_space_group_symop_operation_xyz
'x,y,z'
loop_
_atom_site_label
_atom_site_type_symbol
_atom_site_fract_x
_atom_site_fract_y
_atom_site_fract_z
Zn1 Zn 0.500 0.500 0.000
Al1 Al 0.500 0.500 0.500
Zn2 Zn 0.500 0.000 0.633
Zn3 Zn 0.000 0.000 0.000
Hg1 Hg 0.000 0.500 0.140
Hg2 Hg 0.500 0.000 0.860
Hg3 Hg 0.000 0.000 0.500
Pr1 Pr 0.000 0.500 0.741
Pr2 Pr 0.500 0.000 0.259
Zn4 Zn 0.000 0.500 0.367

# 2
# PrAlZnHg (GGA-PBE, optimized geometry)
# - D(E_F): 2.25 states/eV/cell
# - Energy of formation from the pure elements: -0.26 eV per atom
# - SG: No. 216
data_PrAlZnHg
_chemical_formula_sum 'Pr1 Al1 Zn1 Hg1'
_space_group_name_H-M_alt 'P 1'
_space_group_IT_number 1
_cell_length_a 5.032
_cell_length_b 5.032
_cell_length_c 5.032
_cell_angle_alpha 60.00
_cell_angle_beta 60.00
_cell_angle_gamma 60.00
loop_
_space_group_symop_operation_xyz
'x,y,z'
loop_
_atom_site_label
_atom_site_type_symbol
_atom_site_fract_x
_atom_site_fract_y
_atom_site_fract_z
Al1 Al 0.250 0.250 0.250
Pr1 Pr 0.750 0.750 0.750
Zn1 Zn 0.000 0.000 0.000
Hg1 Hg 0.500 0.500 0.500

# 3
# Pr2Al4Zn3Hg (GGA-PBE, optimized geometry)
# - D(E_F): 2.07 states/eV/cell
# - Energy of formation from the pure elements: -0.40 eV per atom
# - SG: No. 115
data_Pr2Al4Zn3Hg
_chemical_formula_sum 'Pr2 Al4 Zn3 Hg1'
_space_group_name_H-M_alt 'P 1'
_space_group_IT_number 1
_cell_length_a 4.324
_cell_length_b 4.324
_cell_length_c 10.894
_cell_angle_alpha 90.00
_cell_angle_beta 90.00
_cell_angle_gamma 90.00
loop_
_space_group_symop_operation_xyz
'x,y,z'
loop_
_atom_site_label
_atom_site_type_symbol
_atom_site_fract_x
_atom_site_fract_y
_atom_site_fract_z
Zn1 Zn 0.000 0.000 0.500
Zn2 Zn 0.000 0.500 0.133
Hg1 Hg 0.500 0.500 0.500
Zn3 Zn 0.500 0.000 0.867
Al1 Al 0.000 0.500 0.359
Pr1 Pr 0.500 0.000 0.244
Al2 Al 0.500 0.500 0.000
Al3 Al 0.000 0.000 0.000
Pr2 Pr 0.000 0.500 0.756
Al4 Al 0.500 0.000 0.641

# 4
# AlHgPt (GGA-PBE, optimized geometry)
# - D(E_F): 1.45 states/eV/cell
# - Energy of formation from the pure elements: -0.53 eV per atom
# - SG: No. 11
data_AlHgPt
_chemical_formula_sum 'Al2 Hg2 Pt2'
_space_group_name_H-M_alt 'P 1'
_space_group_IT_number 1
_cell_length_a 3.262
_cell_length_b 3.525
_cell_length_c 10.092
_cell_angle_alpha 90.00
_cell_angle_beta 90.12
_cell_angle_gamma 90.00
loop_
_space_group_symop_operation_xyz
'x,y,z'
loop_
_atom_site_label
_atom_site_type_symbol
_atom_site_fract_x
_atom_site_fract_y
_atom_site_fract_z
Al1 Al 0.753 0.250 0.583
Hg1 Hg 0.650 0.750 0.108
Hg2 Hg 0.350 0.250 0.892
Pt1 Pt 0.254 0.750 0.670
Pt2 Pt 0.746 0.250 0.330
Al2 Al 0.247 0.750 0.417

# 5
# AlHgPt (GGA-PBE, optimized geometry)
# - D(E_F): 1.15 states/eV/cell
# - Energy of formation from the pure elements: -0.26 eV per atom
# - SG: No. 187
data_AlHgPt
_chemical_formula_sum 'Al1 Hg1 Pt1'
_space_group_name_H-M_alt 'P 1'
_space_group_IT_number 1
_cell_length_a 4.239
_cell_length_b 4.239
_cell_length_c 3.672
_cell_angle_alpha 90.00
_cell_angle_beta 90.00
_cell_angle_gamma 120.00
loop_
_space_group_symop_operation_xyz
'x,y,z'
loop_
_atom_site_label
_atom_site_type_symbol
_atom_site_fract_x
_atom_site_fract_y
_atom_site_fract_z
Hg1 Hg 0.667 0.333 0.333
Pt1 Pt 0.333 0.667 0.833
Al1 Al 0.000 0.000 0.834

# 6
# AlHgPt (GGA-PBE, optimized geometry)
# - D(E_F): 2.61 states/eV/cell
# - Energy of formation from the pure elements: -0.42 eV per atom
# - SG: No. 12
data_AlHgPt
_chemical_formula_sum 'Al4 Hg4 Pt4'
_space_group_name_H-M_alt 'P 1'
_space_group_IT_number 1
_cell_length_a 8.012
_cell_length_b 3.316
_cell_length_c 8.680
_cell_angle_alpha 90.00
_cell_angle_beta 94.72
_cell_angle_gamma 90.00
loop_
_space_group_symop_operation_xyz
'x,y,z'
loop_
_atom_site_label
_atom_site_type_symbol
_atom_site_fract_x
_atom_site_fract_y
_atom_site_fract_z
Pt1 Pt 0.400 0.000 0.129
Al1 Al 0.346 0.000 0.408
Hg1 Hg 0.899 0.000 0.352
Hg2 Hg 0.101 0.000 0.648
Al2 Al 0.346 0.500 0.908
Al3 Al 0.654 0.500 0.092
Pt2 Pt 0.400 0.500 0.629
Hg3 Hg 0.899 0.500 0.852
Al4 Al 0.654 0.000 0.592
Pt3 Pt 0.600 0.000 0.871
Pt4 Pt 0.600 0.500 0.371
Hg4 Hg 0.101 0.500 0.148

# 7
# AlHgPt (GGA-PBE, optimized geometry)
# - D(E_F): 0.72 states/eV/cell
# - Energy of formation from the pure elements: -0.35 eV per atom
# - SG: No. 107
data_AlHgPt
_chemical_formula_sum 'Al1 Hg1 Pt1'
_space_group_name_H-M_alt 'P 1'
_space_group_IT_number 1
_cell_length_a 5.277
_cell_length_b 5.277
_cell_length_c 5.277
_cell_angle_alpha 142.92
_cell_angle_beta 142.96
_cell_angle_gamma 53.42
loop_
_space_group_symop_operation_xyz
'x,y,z'
loop_
_atom_site_label
_atom_site_type_symbol
_atom_site_fract_x
_atom_site_fract_y
_atom_site_fract_z
Hg1 Hg 0.334 0.334 0.000
Al1 Al 0.031 0.031 0.000
Pt1 Pt 0.635 0.635 0.000

# 8
# AlHgPt4 (GGA-PBE, optimized geometry)
# - D(E_F): 8.49 states/eV/cell
# - Energy of formation from the pure elements: -0.01 eV per atom
# - SG: No. 216
data_AlHgPt4
_chemical_formula_sum 'Al1 Hg1 Pt4'
_space_group_name_H-M_alt 'P 1'
_space_group_IT_number 1
_cell_length_a 5.329
_cell_length_b 5.329
_cell_length_c 5.329
_cell_angle_alpha 60.00
_cell_angle_beta 60.00
_cell_angle_gamma 60.00
loop_
_space_group_symop_operation_xyz
'x,y,z'
loop_
_atom_site_label
_atom_site_type_symbol
_atom_site_fract_x
_atom_site_fract_y
_atom_site_fract_z
Hg1 Hg 0.000 0.000 0.000
Pt1 Pt 0.375 0.375 0.375
Al1 Al 0.750 0.750 0.750
Pt2 Pt 0.375 0.875 0.375
Pt3 Pt 0.375 0.375 0.875
Pt4 Pt 0.875 0.375 0.375

# 9
# Al2Hg2Pt (GGA-PBE, optimized geometry)
# - D(E_F): 3.72 states/eV/cell
# - Energy of formation from the pure elements: -0.09 eV per atom
# - SG: No. 127
data_Al2Hg2Pt
_chemical_formula_sum 'Al4 Hg4 Pt2'
_space_group_name_H-M_alt 'P 1'
_space_group_IT_number 1
_cell_length_a 6.658
_cell_length_b 6.658
_cell_length_c 4.445
_cell_angle_alpha 90.00
_cell_angle_beta 90.00
_cell_angle_gamma 90.00
loop_
_space_group_symop_operation_xyz
'x,y,z'
loop_
_atom_site_label
_atom_site_type_symbol
_atom_site_fract_x
_atom_site_fract_y
_atom_site_fract_z
Al1 Al 0.850 0.650 0.000
Pt1 Pt 0.000 0.000 0.000
Hg1 Hg 0.665 0.835 0.500
Pt2 Pt 0.500 0.500 0.000
Al2 Al 0.150 0.350 0.000
Hg2 Hg 0.165 0.665 0.500
Al3 Al 0.350 0.850 0.000
Hg3 Hg 0.335 0.165 0.500
Al4 Al 0.650 0.150 0.000
Hg4 Hg 0.835 0.335 0.500

# 10
# Al4HgPt (GGA-PBE, optimized geometry)
# - D(E_F): 3.38 states/eV/cell
# - Energy of formation from the pure elements: 0.13 eV per atom
# - SG: No. 216
data_Al4HgPt
_chemical_formula_sum 'Al4 Hg1 Pt1'
_space_group_name_H-M_alt 'P 1'
_space_group_IT_number 1
_cell_length_a 5.297
_cell_length_b 5.297
_cell_length_c 5.297
_cell_angle_alpha 60.00
_cell_angle_beta 60.00
_cell_angle_gamma 60.00
loop_
_space_group_symop_operation_xyz
'x,y,z'
loop_
_atom_site_label
_atom_site_type_symbol
_atom_site_fract_x
_atom_site_fract_y
_atom_site_fract_z
Hg1 Hg 0.750 0.750 0.750
Al1 Al 0.375 0.375 0.876
Al2 Al 0.876 0.375 0.375
Al3 Al 0.375 0.876 0.375
Al4 Al 0.375 0.375 0.375
Pt1 Pt 0.000 0.000 0.000

# 11
# AlHg3Pt (GGA-PBE, optimized geometry)
# - D(E_F): 2.55 states/eV/cell
# - Energy of formation from the pure elements: 0.30 eV per atom
# - SG: No. 221
data_AlHg3Pt
_chemical_formula_sum 'Al1 Hg3 Pt1'
_space_group_name_H-M_alt 'P 1'
_space_group_IT_number 1
_cell_length_a 5.274
_cell_length_b 5.274
_cell_length_c 5.274
_cell_angle_alpha 90.00
_cell_angle_beta 90.00
_cell_angle_gamma 90.00
loop_
_space_group_symop_operation_xyz
'x,y,z'
loop_
_atom_site_label
_atom_site_type_symbol
_atom_site_fract_x
_atom_site_fract_y
_atom_site_fract_z
Pt1 Pt 0.000 0.000 0.000
Hg1 Hg 0.000 0.500 0.000
Hg2 Hg 0.000 0.000 0.500
Al1 Al 0.500 0.500 0.500
Hg3 Hg 0.500 0.000 0.000

# 12
# AlHgPt (GGA-PBE, optimized geometry)
# - D(E_F): 1.83 states/eV/cell
# - Energy of formation from the pure elements: -0.50 eV per atom
# - SG: No. 2
data_AlHgPt
_chemical_formula_sum 'Al2 Hg2 Pt2'
_space_group_name_H-M_alt 'P 1'
_space_group_IT_number 1
_cell_length_a 3.393
_cell_length_b 3.393
_cell_length_c 9.470
_cell_angle_alpha 90.22
_cell_angle_beta 90.58
_cell_angle_gamma 89.99
loop_
_space_group_symop_operation_xyz
'x,y,z'
loop_
_atom_site_label
_atom_site_type_symbol
_atom_site_fract_x
_atom_site_fract_y
_atom_site_fract_z
Pt1 Pt 0.256 0.752 0.682
Pt2 Pt 0.744 0.248 0.318
Hg1 Hg 0.248 0.749 0.105
Al1 Al 0.753 0.251 0.587
Al2 Al 0.247 0.749 0.413
Hg2 Hg 0.752 0.251 0.895

# 13
# AlHgPt (GGA-PBE, optimized geometry)
# - D(E_F): 2.06 states/eV/cell
# - Energy of formation from the pure elements: -0.42 eV per atom
# - SG: No. 38
data_AlHgPt
_chemical_formula_sum 'Al2 Hg2 Pt2'
_space_group_name_H-M_alt 'P 1'
_space_group_IT_number 1
_cell_length_a 3.488
_cell_length_b 2.825
_cell_length_c 11.593
_cell_angle_alpha 90.00
_cell_angle_beta 90.00
_cell_angle_gamma 90.00
loop_
_space_group_symop_operation_xyz
'x,y,z'
loop_
_atom_site_label
_atom_site_type_symbol
_atom_site_fract_x
_atom_site_fract_y
_atom_site_fract_z
Pt1 Pt 0.000 0.500 0.125
Al1 Al 0.500 0.500 0.728
Hg1 Hg 0.500 0.000 0.941
Pt2 Pt 0.000 0.000 0.625
Al2 Al 0.500 0.000 0.228
Hg2 Hg 0.500 0.500 0.441

# 14
# AlHgPt (GGA-PBE, optimized geometry)
# - D(E_F): 3.03 states/eV/cell
# - Energy of formation from the pure elements: -0.47 eV per atom
# - SG: No. 12
data_AlHgPt
_chemical_formula_sum 'Al4 Hg4 Pt4'
_space_group_name_H-M_alt 'P 1'
_space_group_IT_number 1
_cell_length_a 7.239
_cell_length_b 3.443
_cell_length_c 8.835
_cell_angle_alpha 90.00
_cell_angle_beta 100.94
_cell_angle_gamma 90.00
loop_
_space_group_symop_operation_xyz
'x,y,z'
loop_
_atom_site_label
_atom_site_type_symbol
_atom_site_fract_x
_atom_site_fract_y
_atom_site_fract_z
Al1 Al 0.587 0.000 0.875
Pt1 Pt 0.676 0.500 0.105
Pt2 Pt 0.676 0.000 0.605
Hg1 Hg 0.900 0.500 0.847
Hg2 Hg 0.100 0.500 0.153
Hg3 Hg 0.100 0.000 0.653
Al2 Al 0.413 0.000 0.125
Pt3 Pt 0.324 0.000 0.395
Al3 Al 0.587 0.500 0.375
Hg4 Hg 0.900 0.000 0.347
Pt4 Pt 0.324 0.500 0.895
Al4 Al 0.413 0.500 0.625

# 15
# AlHgPt (GGA-PBE, optimized geometry)
# - D(E_F): 1.61 states/eV/cell
# - Energy of formation from the pure elements: -0.29 eV per atom
# - SG: No. 216
data_AlHgPt
_chemical_formula_sum 'Al1 Hg1 Pt1'
_space_group_name_H-M_alt 'P 1'
_space_group_IT_number 1
_cell_length_a 4.417
_cell_length_b 4.417
_cell_length_c 4.417
_cell_angle_alpha 60.00
_cell_angle_beta 60.00
_cell_angle_gamma 60.00
loop_
_space_group_symop_operation_xyz
'x,y,z'
loop_
_atom_site_label
_atom_site_type_symbol
_atom_site_fract_x
_atom_site_fract_y
_atom_site_fract_z
Al1 Al 0.000 0.000 0.000
Hg1 Hg 0.500 0.500 0.500
Pt1 Pt 0.750 0.750 0.750

# 16
# AlHg4Pt (GGA-PBE, optimized geometry)
# - D(E_F): 2.67 states/eV/cell
# - Energy of formation from the pure elements: 0.48 eV per atom
# - SG: No. 216
data_AlHg4Pt
_chemical_formula_sum 'Al1 Hg4 Pt1'
_space_group_name_H-M_alt 'P 1'
_space_group_IT_number 1
_cell_length_a 5.743
_cell_length_b 5.743
_cell_length_c 5.743
_cell_angle_alpha 60.00
_cell_angle_beta 60.00
_cell_angle_gamma 60.00
loop_
_space_group_symop_operation_xyz
'x,y,z'
loop_
_atom_site_label
_atom_site_type_symbol
_atom_site_fract_x
_atom_site_fract_y
_atom_site_fract_z
Hg1 Hg 0.375 0.375 0.375
Hg2 Hg 0.375 0.874 0.375
Hg3 Hg 0.375 0.375 0.874
Hg4 Hg 0.874 0.375 0.375
Al1 Al 0.000 0.000 0.000
Pt1 Pt 0.750 0.750 0.750

# 17
# ScAlHgPt (GGA-PBE, optimized geometry)
# - D(E_F): 1.32 states/eV/cell
# - Energy of formation from the pure elements: -0.66 eV per atom
# - SG: No. 216
data_ScAlHgPt
_chemical_formula_sum 'Sc1 Al1 Hg1 Pt1'
_space_group_name_H-M_alt 'P 1'
_space_group_IT_number 1
_cell_length_a 4.666
_cell_length_b 4.666
_cell_length_c 4.666
_cell_angle_alpha 60.00
_cell_angle_beta 60.00
_cell_angle_gamma 60.00
loop_
_space_group_symop_operation_xyz
'x,y,z'
loop_
_atom_site_label
_atom_site_type_symbol
_atom_site_fract_x
_atom_site_fract_y
_atom_site_fract_z
Hg1 Hg 0.250 0.250 0.250
Al1 Al 0.500 0.500 0.500
Pt1 Pt 0.750 0.750 0.750
Sc1 Sc 0.000 0.000 0.000

# 18
# Sm2Al4HgPt3 (GGA-PBE, optimized geometry)
# - D(E_F): 6.69 states/eV/cell
# - Energy of formation from the pure elements: -0.92 eV per atom
# - SG: No. 115
data_Sm2Al4HgPt3
_chemical_formula_sum 'Sm2 Al4 Hg1 Pt3'
_space_group_name_H-M_alt 'P 1'
_space_group_IT_number 1
_cell_length_a 4.320
_cell_length_b 4.320
_cell_length_c 10.561
_cell_angle_alpha 90.00
_cell_angle_beta 90.00
_cell_angle_gamma 90.00
loop_
_space_group_symop_operation_xyz
'x,y,z'
loop_
_atom_site_label
_atom_site_type_symbol
_atom_site_fract_x
_atom_site_fract_y
_atom_site_fract_z
Al1 Al 0.500 0.000 0.640
Sm1 Sm 0.000 0.500 0.760
Al2 Al 0.000 0.000 0.000
Pt1 Pt 0.000 0.500 0.128
Pt2 Pt 0.500 0.000 0.872
Sm2 Sm 0.500 0.000 0.240
Al3 Al 0.500 0.500 0.000
Pt3 Pt 0.000 0.000 0.500
Hg1 Hg 0.500 0.500 0.500
Al4 Al 0.000 0.500 0.360

# 19
# Sm2Al3HgPt4 (GGA-PBE, optimized geometry)
# - D(E_F): 5.58 states/eV/cell
# - Energy of formation from the pure elements: -0.95 eV per atom
# - SG: No. 115
data_Sm2Al3HgPt4
_chemical_formula_sum 'Sm2 Al3 Hg1 Pt4'
_space_group_name_H-M_alt 'P 1'
_space_group_IT_number 1
_cell_length_a 4.124
_cell_length_b 4.124
_cell_length_c 11.563
_cell_angle_alpha 90.00
_cell_angle_beta 90.00
_cell_angle_gamma 90.00
loop_
_space_group_symop_operation_xyz
'x,y,z'
loop_
_atom_site_label
_atom_site_type_symbol
_atom_site_fract_x
_atom_site_fract_y
_atom_site_fract_z
Pt1 Pt 0.500 0.000 0.665
Sm1 Sm 0.000 0.500 0.749
Hg1 Hg 0.500 0.500 0.500
Al1 Al 0.000 0.500 0.124
Sm2 Sm 0.500 0.000 0.251
Al2 Al 0.000 0.000 0.500
Pt2 Pt 0.000 0.500 0.335
Al3 Al 0.500 0.000 0.876
Pt3 Pt 0.000 0.000 0.000
Pt4 Pt 0.500 0.500 0.000

# 20
# Sr2AlHgPt (GGA-PBE, optimized geometry)
# - D(E_F): 2.31 states/eV/cell
# - Energy of formation from the pure elements: -0.56 eV per atom
# - SG: No. 123
data_Sr2AlHgPt
_chemical_formula_sum 'Sr2 Al1 Hg1 Pt1'
_space_group_name_H-M_alt 'P 1'
_space_group_IT_number 1
_cell_length_a 5.924
_cell_length_b 5.924
_cell_length_c 4.760
_cell_angle_alpha 90.00
_cell_angle_beta 90.00
_cell_angle_gamma 90.00
loop_
_space_group_symop_operation_xyz
'x,y,z'
loop_
_atom_site_label
_atom_site_type_symbol
_atom_site_fract_x
_atom_site_fract_y
_atom_site_fract_z
Pt1 Pt 0.000 0.000 0.000
Sr1 Sr 0.000 0.500 0.000
Sr2 Sr 0.500 0.000 0.000
Al1 Al 0.000 0.000 0.500
Hg1 Hg 0.500 0.500 0.500